No. 1
DFT (GGA-PBE) results for a geometry-optimized NaCaNb4N8 structure.

POSCAR file:
```
NaCaNb4N8
1.0
6.3885 0.0000 0.0000
3.1942 5.5326 0.0000
3.1942 1.8442 5.3959
Na Ca Nb N
1 1 4 8
direct
0.9954 0.9954 0.0139
0.3752 0.3752 0.8745
0.6219 0.6219 0.1344
0.0036 0.4807 0.5121
0.4807 0.0036 0.5121
0.0036 0.0036 0.5121
0.2493 0.8055 0.6958
0.8055 0.2493 0.6958
0.2493 0.2493 0.6958
0.2349 0.2349 0.2953
0.7364 0.2500 0.2773
0.2500 0.7364 0.2773
0.7364 0.7364 0.2773
0.7579 0.7579 0.7263
```

Properties
- density of states at the Fermi level (states/eV/f.u.) = 7.68

No. 2
DFT (GGA-PBE) results for a geometry-optimized NaCaNp4N8 structure.

POSCAR file:
```
NaCaNp4N8
1.0
-3.0811 -5.0868 -3.5124
3.2861 -3.0528 -5.2524
2.3042 -6.5889 0.7299
Na Ca Np N
1 1 4 8
direct
0.0026 0.0026 0.9921
0.3624 0.3624 0.9129
0.5393 0.5393 0.3820
0.0026 0.5076 0.4873
0.5076 0.0026 0.4873
0.0026 0.0026 0.4873
0.2974 0.7723 0.6329
0.7723 0.2974 0.6329
0.2974 0.2974 0.6329
0.2273 0.2273 0.3181
0.7471 0.2097 0.2962
0.2097 0.7471 0.2962
0.7471 0.7471 0.2962
0.7847 0.7847 0.6459
```

Properties
- density of states at the Fermi level (states/eV/f.u.) = 20.77

No. 3
DFT (GGA-PBE) results for a geometry-optimized NaCa2NpN4 structure.

POSCAR file:
```
NaCa2NpN4
1.0
-3.1042 -2.3388 -2.7292
3.0390 -3.6333 -0.3435
-2.0248 0.8727 5.6875
Na Ca Np N
1 2 1 4
direct
0.4342 0.4342 0.0000
0.1856 0.6856 0.5000
0.6856 0.1856 0.5000
0.9286 0.9286 0.0000
0.9348 0.4567 0.0000
0.4567 0.9348 0.0000
0.1272 0.1272 0.3827
0.7445 0.7445 0.6173
```

No. 4
DFT (GGA-PBE) results for a geometry-optimized NaCa2OsN structure.

POSCAR file:
```
NaCa2OsN
1.0
-0.2458 2.8023 -4.3945
3.7363 -2.9725 -2.1045
-2.6716 -2.3865 -1.3724
Na Ca Os N
1 2 1 1
direct
0.5000 0.5000 0.5000
0.0000 0.5000 0.0000
0.5000 0.0000 0.0000
0.0000 0.0000 0.5000
0.0000 0.0000 0.0000
```

Properties
- density of states at the Fermi level (states/eV/f.u.) = 2.27

No. 5
DFT (GGA-PBE) results for a geometry-optimized NaCaPN2 structure.

POSCAR file:
```
NaCaPN2
1.0
-4.2704 2.7130 -0.7116
-2.7632 -3.4889 3.2803
1.5957 3.9705 5.5612
Na Ca P N
2 2 2 4
direct
0.4998 0.0000 0.2500
0.5002 0.0000 0.7500
0.0006 0.5000 0.7500
0.9994 0.5000 0.2500
0.0000 0.0000 0.0000
0.0000 0.0000 0.5000
0.8252 0.7609 0.9999
0.8252 0.2391 0.5001
0.1748 0.7609 0.4999
0.1748 0.2391 0.0001
```

Properties
- density of states at the Fermi level (states/eV/f.u.) = 1.98

No. 6
DFT (GGA-PBE) results for a geometry-optimized NaCa4Pa3N8 structure.

POSCAR file:
```
NaCa4Pa3N8
1.0
-2.2618 -0.4585 -6.7154
-6.4222 -1.6246 2.2740
3.2326 5.9039 2.2624
Na Ca Pa N
1 4 3 8
direct
0.0000 0.5000 0.0000
0.5000 0.0000 0.0000
0.5000 0.0000 0.5000
0.0000 0.0000 0.0000
0.0000 0.0000 0.5000
0.5000 0.5000 0.0000
0.5000 0.5000 0.5000
0.0000 0.5000 0.5000
0.2552 0.7146 0.9593
0.2553 0.7147 0.5106
0.2582 0.2746 0.5164
0.7040 0.7146 0.9593
0.2960 0.2854 0.0407
0.7418 0.7254 0.4836
0.7447 0.2853 0.4894
0.7448 0.2854 0.0407
```

No. 7
DFT (GGA-PBE) results for a geometry-optimized NaCa2Pa3N6 structure.

POSCAR file:
```
NaCa2Pa3N6
1.0
3.5688 0.0000 0.0000
0.0000 7.0216 0.3457
-1.7844 -1.9291 7.3972
Na Ca Pa N
1 2 3 6
direct
0.5000 0.0000 0.0000
0.8328 0.6670 0.6656
0.1672 0.3330 0.3344
0.5000 0.5000 0.0000
0.8344 0.1644 0.6688
0.1656 0.8356 0.3312
0.3199 0.9346 0.6398
0.6589 0.6071 0.3178
0.6801 0.0654 0.3602
0.9890 0.2856 0.9781
0.0110 0.7144 0.0219
0.3411 0.3929 0.6822
```

Properties
- density of states at the Fermi level (states/eV/f.u.) = 7.91

No. 8
DFT (GGA-PBE) results for a geometry-optimized NaCa2PdN structure.

POSCAR file:
```
NaCa2PdN
1.0
-3.5885 -1.6008 -2.7652
3.1412 -1.0063 -3.4938
0.5630 -4.2521 1.7309
Na Ca Pd N
1 2 1 1
direct
0.0000 0.0000 0.5000
0.0000 0.5000 0.0000
0.5000 0.0000 0.0000
0.5000 0.5000 0.5000
0.0000 0.0000 0.0000
```

Properties
- E above lowest polymorph (meV per atom) = 0
- density of states at the Fermi level (states/eV/f.u.) = 1.55

Number 1: total moment 0.92 μB per formula unit, ΔE_f (raw) -0.606 eV per atom. Number 2: total moment 7.00 μB per formula unit, ΔE_f (raw) -0.893 eV per atom. Number 3: total moment 0.00 μB per formula unit, ΔE_f (raw) -0.933 eV per atom. Number 4: total moment 0.00 μB per formula unit, ΔE_f (raw) -0.225 eV per atom. Number 5: total moment 0.00 μB per formula unit, ΔE_f (raw) -0.211 eV per atom. Number 6: total moment 0.00 μB per formula unit, ΔE_f (raw) -1.336 eV per atom. Number 7: total moment 0.00 μB per formula unit, ΔE_f (raw) -1.360 eV per atom. Number 8: total moment 0.00 μB per formula unit, ΔE_f (raw) -0.419 eV per atom.